Computed, not measured: a relaxed structure of LiHfPt at the PBE level of DFT.

Summary:
space group	F-43m (216)
E above lowest polymorph	0.342	eV/atom
energy	-6.130	eV/atom
size of the total moment	0.01	μB/f.u.

abc: 6.1871 6.1871 6.1871
angles: 90.00 90.00 90.00
Positions (direct):
Li1 0.0000 0.0000 0.0000
Li2 0.0000 0.5000 0.5000
Li3 0.5000 0.0000 0.5000
Li4 0.5000 0.5000 0.0000
Hf1 0.2500 0.2500 0.2500
Hf2 0.2500 0.7500 0.7500
Hf3 0.7500 0.2500 0.7500
Hf4 0.7500 0.7500 0.2500
Pt1 0.0000 0.0000 0.5000
Pt2 0.0000 0.5000 0.0000
Pt3 0.5000 0.0000 0.0000
Pt4 0.5000 0.5000 0.5000